Record 1
Material: K3AsSe
Method: DFT, GGA-PBE
State: relaxed

Values from the calculation:
ρ = 2.4 Mg/m³
spin magnetization = 0.00 μB per formula unit
raw formation energy = -699.1 meV/atom
space group = C2/m (12)

Cell: 4.5097 8.8471 9.7190 Å, 100.44 90.00 104.75°
Fractional positions:
Se (0.4182, 0.8695, 0.3032)
As (0.2376, 0.5083, 0.6751)
As (0.8063, 0.6457, 0.7465)
K (0.2549, 0.5429, 0.0526)
Se (0.6258, 0.2846, 0.1184)
K (0.4199, 0.8735, 0.6213)
K (0.7890, 0.6111, 0.3690)
K (0.6239, 0.2805, 0.8002)
K (0.9646, 0.9621, 0.0645)
K (0.0796, 0.1920, 0.3571)

Record 2
Material: Ba2InSe3
Method: DFT, GGA-PBE
State: relaxed

Values from the calculation:
ρ = 5.0 Mg/m³
spin magnetization = 0.00 μB per formula unit
raw formation energy = -1412.0 meV/atom
space group = Immm (71)

Cell: 4.4021 5.2989 9.4963 Å, 106.20 103.40 90.00°
Fractional positions:
Se (0.1647, 0.1647, 0.3294)
Se (0.0000, 0.5000, 0.0000)
In (0.0000, 0.0000, 0.0000)
Ba (0.6510, 0.6510, 0.3021)
Ba (0.3490, 0.3490, 0.6979)
Se (0.8353, 0.8353, 0.6706)

Record 3
Material: ScHgCl2
Method: DFT, GGA-PBE
State: relaxed

Values from the calculation:
ρ = 5.9 Mg/m³
spin magnetization = 0.84 μB per formula unit
raw formation energy = -684.2 meV/atom
space group = I-4m2 (119)

Cell: 5.7979 5.7979 5.7979 Å, 136.98 136.98 62.47°
Last column: magnetic moment on the atom in μB.
Fractional positions:
Cl (0.2500, 0.7500, 0.5000)  0.02
Sc (0.7500, 0.2500, 0.5000)  0.59
Hg (0.5000, 0.5000, 0.0000)  0.01
Cl (0.0000, 0.0000, 0.0000)  -0.01

Record 4
Material: SrLa2UN4
Method: DFT, GGA-PBE
State: relaxed

Values from the calculation:
ρ = 7.9 Mg/m³
spin magnetization = 0.64 μB per formula unit
raw formation energy = -1230.0 meV/atom
space group = Imma (74)

Cell: 7.3128 7.3128 7.2925 Å, 119.91 119.91 90.41°
Last column: magnetic moment on the atom in μB.
Fractional positions:
N (0.6986, 0.2867, 0.4927)  -0.02
N (0.3014, 0.7133, 0.5073)  -0.02
N (0.7867, 0.1986, 0.9926)  -0.02
N (0.2542, 0.2462, 0.4671)  -0.02
Sr (0.0000, 0.5000, 0.0000)  0.01
U (0.0000, 0.0000, 0.0000)  0.44
N (0.2539, 0.2459, 0.0329)  -0.02
La (0.0000, 0.0000, 0.5000)  0.07
La (0.5000, 0.5000, 0.0000)  0.07
La (0.5000, 0.0000, 0.5000)  0.03
Sr (0.0000, 0.5000, 0.5000)  0.01
N (0.2133, 0.8014, 0.0074)  -0.02
N (0.7458, 0.7538, 0.5329)  -0.02
La (0.5000, 0.0000, 0.0000)  0.03
U (0.5000, 0.5000, 0.5000)  0.45
N (0.7461, 0.7541, 0.9671)  -0.02

Record 5
Material: Ag5W3
Method: DFT, GGA-PBE
State: relaxed

Values from the calculation:
ρ = 12.6 Mg/m³
spin magnetization = 0.00 μB per formula unit
energy of formation = 0.527 eV per atom
space group = P1 (1)

Cell: 8.9030 7.9358 7.1074 Å, 82.72 102.81 143.89°
Fractional positions:
Ag (0.3745, 0.5318, 0.2912)
Ag (0.6437, 0.5046, 0.1671)
Ag (0.3940, 0.2398, 0.7804)
Ag (0.0399, 0.5415, 0.2972)
Ag (0.5016, 0.0164, 0.0842)
W (0.1480, 0.3513, 0.6026)
W (0.0847, 0.1003, 0.9997)
W (0.8506, 0.0309, 0.2424)
Ag (0.9511, 0.6455, 0.9312)
W (0.7816, 0.8242, 0.6644)
Ag (0.2594, 0.7928, 0.6927)
W (0.9537, 0.2780, 0.9075)
Ag (0.7305, 0.4413, 0.5444)
W (0.5083, 0.6944, 0.9098)
Ag (0.6147, 0.0065, 0.4985)
Ag (0.1702, 0.0072, 0.3933)

Record 6
Material: BaPaAs2Pt2
Method: DFT, GGA-PBE
State: relaxed

Values from the calculation:
ρ = 10.7 Mg/m³
spin magnetization = 0.00 μB per formula unit
energy of formation = -1.056 eV per atom
space group = P-3m1 (164)

Cell: 4.3329 4.3329 8.6948 Å, 90.00 90.00 120.00°
Fractional positions:
As (0.3333, 0.6667, 0.7395)
As (0.6667, 0.3333, 0.2605)
Pt (0.6667, 0.3333, 0.6875)
Ba (0.0000, 0.0000, 0.0000)
Pt (0.3333, 0.6667, 0.3125)
Pa (0.0000, 0.0000, 0.5000)